Computed, not measured: MgMnGa2Tc after structural relaxation at the PBE level of DFT.

Computed properties:
**Total energy**: -4.01 eV/atom
**Energy of formation**: 1425 meV per atom

abc: 4.7679 4.7679 4.7514
angles: 90.00 90.00 90.00
Last column: nearest neighbours and their distance in Å.
Space group P4/mmm (No. 123)
Inequivalent atoms, fractional coordinates:
1 Mg 0.0000 0.0000 0.0000 (multiplicity 1)  2 Mn 2.38, 4 Ga 2.38
2 Mn 0.0000 0.0000 0.5000 (multiplicity 1)  2 Mg 2.38
3 Ga 0.0000 0.5000 0.0000 (multiplicity 2)  2 Mg 2.38
4 Tc 0.5000 0.5000 0.5000 (multiplicity 1)  8 Ga 3.37, 4 Mn 3.37